PBE ThMg2, optimized geometry; calculated density = 5.74 g/cm³; uncorrected energy = -3.354 eV/atom; magnetic moment = 0.00 μB per formula unit
1.0
5.4309 0.0000 0.0000
0.0000 10.3515 0.0000
0.0000 0.0000 5.7757
Th Mg
4 8
Cartesian
1.3577 0.9172 0.3172
1.3577 4.2586 0.3172
4.0732 6.0929 5.4584
4.0732 9.4343 5.4584
1.3577 2.5879 3.2519
1.3577 6.1206 3.2344
1.3577 7.7636 0.4617
1.3577 9.4066 3.2344
4.0732 0.9449 2.5412
4.0732 2.5879 5.3139
4.0732 4.2308 2.5412
4.0732 7.7636 2.5237

=====

PBE NdHgSO, optimized geometry; calculated density = 5.88 g/cm³; excess energy over the best structure of this formula in the dataset = 237.3 meV/atom; magnetic moment = 0.00 μB per formula unit
1.0
4.9108 0.0000 0.0000
0.0000 8.9027 0.0000
0.0000 0.0000 5.0786
Nd Hg S O
2 2 2 2
Cartesian
0.0000 1.2953 0.0000
0.0000 7.6074 2.5393
2.4554 2.7738 2.7682
2.4554 6.1290 0.2289
2.4554 2.7109 0.2433
2.4554 6.1918 2.7826
0.0000 0.8648 2.8316
0.0000 8.0379 0.2923

=====

PBE InAgPtSe3, optimized geometry; calculated density = 8.09 g/cm³; uncorrected energy = -3.947 eV/atom; magnetic moment = 0.00 μB per formula unit
1.0
1.8924 -6.4741 0.0000
1.8924 6.4741 0.0000
0.0000 0.0000 10.9685
In Ag Pt Se
2 2 2 6
Cartesian
1.8924 4.2338 8.2264
1.8924 -4.2338 2.7421
1.8924 4.4302 2.7421
1.8924 -4.4302 8.2264
1.8924 0.0000 0.0000
1.8924 0.0000 5.4842
1.8924 4.8122 0.1029
1.8924 4.8122 5.3813
1.8924 0.1828 2.7421
1.8924 -0.1828 8.2264
1.8924 -4.8122 5.5872
1.8924 -4.8122 10.8655

=====

PBE ScTl2Au2, optimized geometry; calculated density = 12.09 g/cm³; uncorrected energy = -3.461 eV/atom; magnetic moment = 0.03 μB per formula unit
1.0
-1.9735 1.9735 7.4716
1.9735 -1.9735 7.4716
1.9735 1.9735 -7.4716
Sc Tl Au
1 2 2
Cartesian
0.0000 0.0000 0.0000
0.0000 0.0000 5.9289
0.0000 0.0000 9.0143
1.9735 0.0000 3.7358
0.0000 1.9735 3.7358

=====

PBE KNaTePd, optimized geometry; calculated density = 5.18 g/cm³; excess energy over the best structure of this formula in the dataset = 0.0 meV/atom
1.0
0.0000 3.6210 3.6210
3.6210 0.0000 3.6210
3.6210 3.6210 0.0000
K Na Te Pd
1 1 1 1
Cartesian
0.0000 0.0000 0.0000
5.4315 5.4315 5.4315
3.6210 3.6210 3.6210
1.8105 1.8105 1.8105

=====

PBE Be2NiIr, optimized geometry; calculated density = 11.11 g/cm³; excess energy over the best structure of this formula in the dataset = 6.8 meV/atom; magnetic moment = 0.00 μB per formula unit
1.0
-2.6777 2.8042 2.6774
2.6777 -2.8042 2.6774
2.6777 2.8042 -2.6774
Be Ni Ir
4 2 2
Cartesian
1.3389 2.8255 -1.3387
1.3389 0.0213 1.3387
-1.3389 2.7829 1.3387
1.3389 2.7829 1.3387
2.6777 -1.4021 2.6759
0.0000 4.2063 0.0016
2.6777 1.4021 -0.0152
0.0000 1.4021 2.6926

=====

PBE Li4SiSbPd2, optimized geometry; calculated density = 5.65 g/cm³; uncorrected energy = -4.040 eV/atom
1.0
4.2829 0.0000 0.0000
0.0000 4.2829 0.0000
0.0000 0.0000 6.2536
Li Si Sb Pd
4 1 1 2
Cartesian
0.0000 0.0000 0.0000
0.0000 2.1415 1.4269
2.1415 0.0000 4.8267
2.1415 2.1415 3.1268
2.1415 2.1415 0.0000
0.0000 0.0000 3.1268
0.0000 2.1415 4.8785
2.1415 0.0000 1.3752

=====

PBE Zr2Cu2SiGeSb2, optimized geometry; calculated density = 7.26 g/cm³; uncorrected energy = -5.757 eV/atom; magnetic moment = 0.01 μB per formula unit
1.0
3.8748 0.0000 0.0000
0.0000 3.8748 0.0000
0.0000 0.0000 9.9618
Zr Cu Si Ge Sb
2 2 1 1 2
Cartesian
0.0000 1.9374 2.1283
1.9374 0.0000 7.8335
0.0000 0.0000 4.9809
1.9374 1.9374 4.9809
1.9374 1.9374 0.0000
0.0000 0.0000 0.0000
0.0000 1.9374 6.8162
1.9374 0.0000 3.1456

=====

PBE Pr2BrCl5, optimized geometry; calculated density = 4.13 g/cm³; uncorrected energy = -4.783 eV/atom; magnetic moment = 0.00 μB per formula unit
1.0
7.5277 0.0000 0.0000
0.0000 4.2996 0.0000
-3.6949 0.0000 6.7005
Pr Br Cl
2 1 5
Cartesian
0.0000 0.0000 0.0000
0.0580 2.1498 4.4966
6.2120 2.1498 1.7100
-1.9169 0.0000 4.3667
1.9452 2.1498 0.2184
1.1496 0.0000 2.8352
0.8742 0.0000 6.2729
2.9997 2.1498 4.8854

=====

PBE NdYCu2SiGe, optimized geometry; calculated density = 6.45 g/cm³; uncorrected energy = -5.450 eV/atom; magnetic moment = 0.00 μB per formula unit
1.0
4.2068 0.0000 0.0000
-2.1034 3.6432 0.0000
0.0000 0.0000 7.7440
Nd Y Cu Si Ge
1 1 2 1 1
Cartesian
0.0000 0.0000 0.0000
0.0000 0.0000 3.8526
0.0000 2.4288 2.0120
2.1034 1.2144 5.7125
2.1034 1.2144 2.0036
0.0000 2.4288 5.7204

=====

PBE LaSmAgTe3, optimized geometry; calculated density = 7.00 g/cm³; uncorrected energy = -4.773 eV/atom; magnetic moment = 0.01 μB per formula unit
1.0
2.1509 -7.3865 0.0000
2.1509 7.3865 0.0000
0.0000 0.0000 11.6523
La Sm Ag Te
2 2 2 6
Cartesian
0.0000 0.0000 0.0000
0.0000 0.0000 5.8261
2.1509 4.0497 8.7392
2.1509 -4.0497 2.9131
2.1509 0.3564 2.9131
2.1509 -0.3564 8.7392
2.1509 5.8136 2.9131
2.1509 2.2557 0.8307
2.1509 2.2557 4.9954
2.1509 -2.2557 6.6569
2.1509 -2.2557 10.8216
2.1509 -5.8136 8.7392

=====

PBE UTlHgTe3, optimized geometry; calculated density = 8.37 g/cm³; uncorrected energy = -4.258 eV/atom; magnetic moment = 2.97 μB per formula unit
1.0
2.2259 -7.8849 0.0000
2.2259 7.8849 0.0000
0.0000 0.0000 11.5910
U Tl Hg Te
2 2 2 6
Cartesian
0.0000 0.0000 0.0000
0.0000 0.0000 5.7955
2.2259 4.1032 8.6933
2.2259 -4.1032 2.8978
2.2259 0.5676 2.8978
2.2259 -0.5676 8.6933
2.2259 6.5394 2.8978
2.2259 2.1750 0.5420
2.2259 2.1750 5.2535
2.2259 -2.1750 6.3376
2.2259 -2.1750 11.0490
2.2259 -6.5394 8.6933

=====

PBE LiTmNiS3, optimized geometry; calculated density = 4.89 g/cm³; uncorrected energy = -5.244 eV/atom; magnetic moment = 1.24 μB per formula unit
1.0
1.8452 -6.0389 0.0000
1.8452 6.0389 0.0000
0.0000 0.0000 10.0796
Li Tm Ni S
2 2 2 6
Cartesian
1.8452 3.2600 7.5597
1.8452 -3.2600 2.5199
0.0000 0.0000 0.0000
0.0000 0.0000 5.0398
1.8452 0.1525 2.5199
1.8452 -0.1525 7.5597
1.8452 4.9289 2.5199
1.8452 1.7072 0.8945
1.8452 1.7072 4.1453
1.8452 -1.7072 5.9343
1.8452 -1.7072 9.1851
1.8452 -4.9289 7.5597

=====

PBE NaPa2O4, optimized geometry; calculated density = 7.51 g/cm³; uncorrected energy = -7.814 eV/atom; magnetic moment = 3.00 μB per formula unit
1.0
0.0000 4.9523 4.9523
4.9523 0.0000 4.9523
4.9523 4.9523 0.0000
Na Pa O
2 4 8
Cartesian
1.2381 1.2381 1.2381
8.6665 8.6665 8.6665
4.9523 2.4761 2.4761
2.4761 4.9523 2.4761
2.4761 2.4761 4.9523
4.9523 4.9523 4.9523
2.6123 2.6123 2.6123
4.8161 4.8161 2.6123
4.8161 2.6123 4.8161
7.2923 5.0884 5.0884
2.6123 4.8161 4.8161
5.0884 7.2923 5.0884
5.0884 5.0884 7.2923
7.2923 7.2923 7.2923

=====

PBE BaHoSi2, optimized geometry; calculated density = 5.38 g/cm³; uncorrected energy = -4.797 eV/atom; magnetic moment = 0.26 μB per formula unit
1.0
3.9424 0.0000 0.0000
0.0000 2.2196 6.3169
0.0000 -2.2196 6.3169
Ba Ho Si
1 1 2
Cartesian
0.0000 0.0000 0.0000
1.9712 0.0000 3.3655
0.0000 0.0000 9.2303
1.9712 0.0000 7.7354

=====

PBE RbSmNiTe3, optimized geometry; calculated density = 5.60 g/cm³; uncorrected energy = -4.203 eV/atom; magnetic moment = 0.21 μB per formula unit
1.0
8.6561 -2.2800 0.0000
8.6561 2.2800 0.0000
-0.6813 0.0000 10.1856
Rb Sm Ni Te
2 2 2 6
Cartesian
2.4955 0.0000 0.9757
14.1353 0.0000 9.2099
2.4520 0.0000 6.0742
14.1788 0.0000 4.1114
8.1950 0.0000 6.4076
8.4358 0.0000 3.7780
-0.3407 0.0000 5.0928
5.5184 0.0000 6.3937
6.4598 0.0000 2.1292
8.6561 0.0000 0.0000
10.1710 0.0000 8.0563
11.1124 0.0000 3.7918

=====

PBE YErFe2Ge2B, optimized geometry; calculated density = 7.55 g/cm³; uncorrected energy = -6.813 eV/atom; magnetic moment = 0.01 μB per formula unit
1.0
5.3555 -2.0352 0.0000
5.3555 2.0352 0.0000
-4.3577 0.0000 5.2896
Y Er Fe Ge B
1 1 2 2 1
Cartesian
0.0000 0.0000 0.0000
-1.5591 0.0000 3.4076
1.5722 0.0000 2.6966
7.6010 0.0000 0.7246
3.3067 0.0000 1.0981
5.8540 0.0000 2.3157
2.4210 0.0000 4.3486

=====

PBE AgTeO3, optimized geometry; calculated density = 6.98 g/cm³; uncorrected energy = -4.735 eV/atom
1.0
6.0985 0.0000 0.0000
0.0000 7.8273 0.0000
0.0000 0.0000 5.6497
Ag Te O
4 4 12
Cartesian
0.0000 0.0000 0.0000
0.0000 3.9137 0.0000
3.0493 0.0000 2.8248
3.0493 3.9137 2.8248
0.1334 1.9568 2.7347
2.9159 5.8705 5.5595
3.1826 1.9568 0.0901
5.9651 5.8705 2.9150
0.5072 5.8705 1.1099
1.0240 4.4719 3.6299
1.0240 7.2691 3.6299
2.0252 0.5582 0.8050
2.0252 3.3554 0.8050
2.5420 1.9568 3.9348
3.5565 5.8705 1.7149
4.0733 4.4719 4.8447
4.0733 7.2691 4.8447
5.0745 0.5582 2.0198
5.0745 3.3554 2.0198
5.5913 1.9568 4.5398

=====

PBE Ba2Al4CuPd, optimized geometry; calculated density = 4.71 g/cm³; uncorrected energy = -3.893 eV/atom
1.0
7.4186 0.0000 0.0000
0.0000 2.1269 6.1665
0.0000 -2.1269 6.1665
Ba Al Cu Pd
2 4 1 1
Cartesian
0.0000 0.0000 0.0000
3.7093 0.0000 0.9924
1.3559 0.0000 8.9568
2.3028 0.0000 4.3371
5.1157 0.0000 4.3371
6.0627 0.0000 8.9568
0.0000 0.0000 3.3391
3.7093 0.0000 10.0170

=====

PBE CuCl2, optimized geometry; calculated density = 3.27 g/cm³; uncorrected energy = -2.942 eV/atom
1.0
6.5976 0.0000 0.0000
0.0000 3.2841 0.0000
-3.0243 0.0000 6.3075
Cu Cl
2 4
Cartesian
0.8908 0.8210 1.5777
2.6825 2.4631 4.7298
-0.6757 2.4631 1.5992
2.4633 2.4631 1.5482
1.1100 0.8210 4.7593
4.2490 0.8210 4.7083

=====

PBE LuTc2Ge, optimized geometry; calculated density = 11.03 g/cm³; uncorrected energy = -7.440 eV/atom; magnetic moment = 0.06 μB per formula unit
1.0
0.0000 3.2197 3.2197
3.2197 0.0000 3.2197
3.2197 3.2197 0.0000
Lu Tc Ge
1 2 1
Cartesian
0.0000 0.0000 0.0000
1.6099 1.6099 1.6099
3.2197 3.2197 3.2197
4.8296 4.8296 4.8296

=====

PBE MgBeAg, optimized geometry; calculated density = 4.35 g/cm³; excess energy over the best structure of this formula in the dataset = 0.0 meV/atom
1.0
0.0000 2.9981 2.9981
2.9981 0.0000 2.9981
2.9981 2.9981 0.0000
Mg Be Ag
1 1 1
Cartesian
0.0000 0.0000 0.0000
2.9981 2.9981 2.9981
4.4971 4.4971 4.4971

=====

PBE Ho3Mg3Ga2Pt, optimized geometry; calculated density = 7.57 g/cm³; uncorrected energy = -4.042 eV/atom; magnetic moment = 0.01 μB per formula unit
1.0
7.2688 0.0000 0.0000
-3.6344 6.2950 0.0000
0.0000 0.0000 4.3240
Ho Mg Ga Pt
3 3 2 1
Cartesian
-1.4923 2.5847 0.0000
2.9845 0.0000 0.0000
2.1421 3.7103 0.0000
-2.7627 4.7852 2.1620
0.8716 1.5097 2.1620
5.5255 0.0000 2.1620
0.0000 4.1966 2.1620
3.6344 2.0983 2.1620
0.0000 0.0000 0.0000